The following is a DFT calculation (PBE-GGA) of crystalline Pm4HC2Cl at its relaxed geometry.

a = 6.509 Å, b = 3.758 Å, c = 6.899 Å
α = 90.00°, β = 107.71°, γ = 90.00°
Element x y z (fractional)
1 Pm 0.228 0.000 0.207
2 Pm 0.261 0.500 0.793
3 Pm 0.739 0.500 0.207
4 Pm 0.772 0.000 0.793
5 H 0.000 0.000 0.500
6 C 0.000 0.500 0.000
7 C 0.500 0.000 0.000
8 Cl 0.500 0.500 0.500

Values from the calculation:
total magnetic moment	0.00	μB per formula unit

---

The following is a DFT calculation (PBE-GGA) of crystalline Pr6HC2Cl3 at its relaxed geometry.

a = 6.620 Å, b = 6.620 Å, c = 7.488 Å
α = 98.55°, β = 98.55°, γ = 119.90°
Element x y z (fractional)
1 Pr 0.086 0.435 0.803
2 Pr 0.216 0.216 0.198
3 Pr 0.435 0.086 0.803
4 Pr 0.565 0.914 0.197
5 Pr 0.784 0.784 0.802
6 Pr 0.914 0.565 0.197
7 H 0.500 0.500 0.000
8 C 0.166 0.834 0.000
9 C 0.834 0.166 0.000
10 Cl 0.000 0.000 0.500
11 Cl 0.331 0.669 0.500
12 Cl 0.669 0.331 0.500

Values from the calculation:
total magnetic moment	0.00	μB per formula unit

---

The following is a DFT calculation (PBE-GGA) of crystalline Pr8HC3Cl4 at its relaxed geometry.

a = 8.437 Å, b = 8.437 Å, c = 8.437 Å
α = 53.64°, β = 53.64°, γ = 53.64°
Element x y z (fractional)
1 Pr 0.218 0.740 0.740
2 Pr 0.231 0.231 0.231
3 Pr 0.260 0.260 0.782
4 Pr 0.260 0.782 0.260
5 Pr 0.740 0.218 0.740
6 Pr 0.740 0.740 0.218
7 Pr 0.769 0.769 0.769
8 Pr 0.782 0.260 0.260
9 H 0.500 0.500 0.500
10 C 0.000 0.000 0.500
11 C 0.000 0.500 0.000
12 C 0.500 0.000 0.000
13 Cl 0.000 0.000 0.000
14 Cl 0.000 0.500 0.500
15 Cl 0.500 0.000 0.500
16 Cl 0.500 0.500 0.000

Values from the calculation:
total magnetic moment	0.00	μB per formula unit

---

no.,final energy (eV per cell)
1,-48.0
2,-67.2
3,-91.9